# 1
Nd12Ni5Bi | Alexandria via LeMat-Bulk | GGA-PBE | relaxed; DOS(E_F) = 18.86 states/eV/f.u.; DFT total energy = -5.285 eV per atom; E_form = -285 meV per atom
1.0
8.063 0.013 -3.200
-4.139 7.205 -2.493
-0.121 -0.013 8.674
Nd Ni Bi
12 5 1
Cartesian
0.704 5.900 2.363
3.099 1.304 0.618
6.262 1.304 2.798
-2.459 5.900 0.183
2.710 4.902 -0.692
1.093 2.303 3.673
-0.439 4.889 5.896
4.242 2.316 -2.915
3.911 4.387 2.825
-0.108 2.818 0.156
-2.658 7.123 3.856
6.461 0.082 -0.876
2.471 4.545 -3.585
1.453 2.673 -2.108
3.452 0.877 3.491
0.351 6.328 -0.510
0.000 0.000 0.000
-2.130 3.596 3.091

# 2
Tl2AgSbO6 | Alexandria via LeMat-Bulk | GGA-PBE | relaxed; E_form (uncorrected) = -78.7 kJ per mole of atoms; DOS(E_F) = 5.48 states/eV/f.u.; DFT total energy = -4.961 eV per atom
1.0
-3.177 -4.807 -0.073
-0.115 -3.446 4.616
-5.047 -0.170 3.343
Tl Ag Sb O
2 1 1 6
Cartesian
-3.771 -4.471 3.759
-4.831 -0.310 3.243
-5.783 -6.626 5.695
-1.222 -2.669 1.572
-3.013 -3.588 1.816
-2.028 -4.482 5.205
-4.298 -6.634 3.341
-5.211 -4.394 5.731
-6.096 -3.957 3.206
-4.401 -2.191 4.373

# 3
Pr2Y4C | Alexandria via LeMat-Bulk | GGA-PBE | relaxed; DOS(E_F) = 7.21 states/eV/f.u.; polymorph energy (0 for the lowest one) = 0 meV per atom; DFT total energy = -6.496 eV per atom; E_form = -119 meV per atom
1.0
-1.671 -2.270 -2.286
-0.428 -3.490 0.898
-16.663 2.031 7.283
Pr Y C
2 4 1
Cartesian
-4.895 -0.882 1.573
-13.867 -2.847 4.323
-9.951 0.370 4.026
-8.811 -4.098 1.869
-16.181 -0.181 6.247
-2.580 -3.548 -0.352
0.000 0.000 0.000

# 4
Tl4InW | Alexandria via LeMat-Bulk | GGA-PBE | relaxed; DOS(E_F) = 2.96 states/eV/f.u.; DFT total energy = -3.148 eV per atom; E_form = 1045 meV per atom
1.0
-0.105 -3.637 5.102
-2.530 2.137 5.320
-5.430 -2.359 2.055
Tl In W
4 1 1
Cartesian
-3.080 -3.261 7.226
-5.733 -2.624 5.709
-4.289 -0.385 7.335
-3.028 -1.449 4.685
0.000 0.000 0.000
-6.049 -2.895 9.358

# 5
AgHRhPb2 | Alexandria via LeMat-Bulk | GGA-PBE | relaxed; DOS(E_F) = 2.71 states/eV/f.u.; polymorph energy (0 for the lowest one) = 58 meV per atom; DFT total energy = -4.040 eV per atom
1.0
5.439 0.000 0.000
0.000 5.439 0.000
0.000 0.000 3.412
Pb H Rh Ag
2 1 1 1
Cartesian
0.000 2.719 0.000
2.719 0.000 0.000
0.000 0.000 1.706
0.000 0.000 0.000
2.719 2.719 1.706

# 6
VFe2SiSb | Alexandria via LeMat-Bulk | GGA-PBE | relaxed; E_form (uncorrected) = 112.7 kJ per mole of atoms; DOS(E_F) = 6.30 states/eV/f.u.; DFT total energy = -5.949 eV per atom
1.0
-0.462 -0.086 4.369
2.136 -4.547 0.137
3.951 1.870 0.454
Sb Si Fe V
1 1 2 1
Cartesian
1.068 -2.273 0.068
2.812 -1.381 2.480
1.975 0.935 0.227
-0.231 -0.043 2.185
0.000 0.000 0.000

# 7
Mg4HgRh | Alexandria via LeMat-Bulk | GGA-PBE | relaxed; DOS(E_F) = 2.25 states/eV/f.u.; polymorph energy (0 for the lowest one) = 87 meV per atom; DFT total energy = -2.537 eV per atom; E_form = -199 meV per atom
1.0
-1.390 2.684 3.300
-4.141 -1.648 -0.405
1.471 -4.815 4.535
Mg Hg Rh
4 1 1
Cartesian
-4.416 -1.638 2.514
-3.772 -3.754 4.505
-1.006 -4.271 3.057
-1.650 -2.156 1.067
-1.289 -4.282 5.979
-3.399 -4.037 1.859

# 8
GdScC2 | Alexandria via LeMat-Bulk | GGA-PBE | relaxed; DOS(E_F) = 4.06 states/eV/f.u.; DFT total energy = -9.679 eV per atom; E_form = 36 meV per atom
1.0
-0.587 2.630 -2.216
0.175 -0.546 -3.441
-5.628 -0.594 -1.961
Sc C Gd
1 2 1
Cartesian
0.000 0.000 0.000
-1.407 0.397 -1.903
-4.633 1.094 -5.715
-3.020 0.745 -3.809

# 9
TaBeB2 | Alexandria via LeMat-Bulk | GGA-PBE | relaxed; DOS(E_F) = 0.67 states/eV/f.u.; DFT total energy = -7.739 eV per atom; E_form = -506 meV per atom
1.0
-2.158 -0.309 2.105
0.513 -5.868 -0.336
5.604 0.159 5.768
Ta Be B
4 4 8
Cartesian
-0.387 -5.273 2.101
4.345 -0.745 5.436
0.580 -2.304 3.529
3.378 -3.714 4.009
0.317 -2.967 0.980
2.170 -5.855 2.456
3.642 -3.051 6.558
1.788 -0.163 5.081
3.467 -4.952 6.100
0.491 -1.066 1.437
2.292 -2.044 5.322
1.666 -3.974 2.215
1.174 -4.639 3.795
5.042 -4.256 5.635
-1.084 -1.762 1.903
2.784 -1.379 3.743

# 10
ScGaCuCl | Alexandria via LeMat-Bulk | GGA-PBE | relaxed; E_form (uncorrected) = -61.2 kJ per mole of atoms; DOS(E_F) = 1.93 states/eV/f.u.; polymorph energy (0 for the lowest one) = 21 meV per atom; DFT total energy = -4.459 eV per atom
1.0
3.198 0.000 0.000
0.000 3.198 0.000
0.000 0.000 14.143
Sc Cu Ga Cl
2 2 2 2
Cartesian
0.000 0.000 0.474
1.599 1.599 7.545
0.000 0.000 3.448
1.599 1.599 10.519
0.000 0.000 9.355
1.599 1.599 2.283
0.000 0.000 5.878
1.599 1.599 12.949

# 11
Tc2RuRh | Alexandria via LeMat-Bulk | GGA-PBE | relaxed; DOS(E_F) = 5.05 states/eV/f.u.; polymorph energy (0 for the lowest one) = 431 meV per atom; DFT total energy = -9.041 eV per atom; E_form = 299 meV per atom
1.0
3.238 0.000 0.000
0.000 3.238 0.000
0.000 0.000 5.569
Rh Ru Tc
1 1 2
Cartesian
0.000 0.000 2.803
1.619 1.619 4.129
0.000 0.000 5.557
1.619 1.619 1.433

# 12
TlTc2Pt | Alexandria via LeMat-Bulk | GGA-PBE | relaxed; DOS(E_F) = 4.60 states/eV/f.u.; polymorph energy (0 for the lowest one) = 198 meV per atom; DFT total energy = -6.893 eV per atom; E_form = 392 meV per atom
1.0
4.875 0.001 -0.001
4.020 2.757 -0.001
0.929 0.288 5.049
Pt Tc Tl
1 2 1
Cartesian
7.368 2.284 3.785
0.945 0.293 4.847
4.897 1.518 2.725
2.456 0.761 1.262

# 13
SrFe4P | Alexandria via LeMat-Bulk | GGA-PBE | relaxed; DOS(E_F) = 6.13 states/eV/f.u.; DFT total energy = -6.396 eV per atom; E_form = 427 meV per atom
1.0
0.000 3.626 3.626
3.626 0.000 3.626
3.626 3.626 0.000
Sr Fe P
1 4 1
Cartesian
0.000 0.000 0.000
2.719 4.532 4.532
4.532 4.532 2.719
4.532 2.719 4.532
2.719 2.719 2.719
5.438 5.438 5.438

# 14
TlSnCl2 | Alexandria via LeMat-Bulk | GGA-PBE | relaxed; E_form (uncorrected) = -64.0 kJ per mole of atoms; DOS(E_F) = 0.58 states/eV/f.u.; polymorph energy (0 for the lowest one) = 0 meV per atom; DFT total energy = -3.179 eV per atom
1.0
5.212 -6.296 5.810
7.945 -5.054 3.450
6.999 -2.998 6.526
Tl Sn Cl
1 1 2
Cartesian
10.078 -7.174 7.893
0.000 0.000 0.000
18.314 -13.037 14.344
1.842 -1.311 1.443

# 15
NpMnZnRu | Alexandria via LeMat-Bulk | GGA-PBE | relaxed; DOS(E_F) = 8.79 states/eV/f.u.; DFT total energy = -8.141 eV per atom; E_form = 24 meV per atom
1.0
-4.451 0.550 0.289
-2.492 0.161 -3.736
-2.755 -3.403 -1.012
Np Ru Zn Mn
1 1 1 1
Cartesian
-4.848 -1.346 -2.229
-7.273 -2.020 -3.344
0.000 0.000 0.000
-2.424 -0.673 -1.115

# 16
La2Ga3SnRh4 | Alexandria via LeMat-Bulk | GGA-PBE | relaxed; DOS(E_F) = 5.92 states/eV/f.u.; DFT total energy = -6.040 eV per atom; E_form = -806 meV per atom
1.0
4.410 0.000 0.000
0.000 4.410 0.000
0.000 0.000 10.255
La Ga Sn Rh
2 3 1 4
Cartesian
2.205 0.000 2.385
0.000 2.205 7.871
0.000 0.000 5.128
2.205 0.000 9.037
0.000 2.205 1.218
2.205 2.205 5.128
2.205 2.205 0.000
0.000 0.000 0.000
2.205 0.000 6.544
0.000 2.205 3.711

# 17
Th3Ga4Ni4 | Alexandria via LeMat-Bulk | GGA-PBE | relaxed; DOS(E_F) = 10.13 states/eV/f.u.; DFT total energy = -5.785 eV per atom; E_form = -558 meV per atom
1.0
4.362 0.000 0.000
0.000 3.987 0.000
-2.181 -1.993 12.058
Th Ga Ni
3 4 4
Cartesian
0.000 1.993 8.364
2.181 0.000 3.694
0.000 0.000 0.000
2.181 0.000 7.281
0.000 0.000 10.779
2.181 1.993 1.279
0.000 1.993 4.777
0.000 0.000 6.115
0.000 1.993 2.318
2.181 0.000 9.739
2.181 1.993 5.943

# 18
CeHgPd | Alexandria via LeMat-Bulk | GGA-PBE | relaxed; DOS(E_F) = 5.85 states/eV/f.u.; polymorph energy (0 for the lowest one) = 81 meV per atom; DFT total energy = -4.333 eV per atom; E_form = -523 meV per atom
1.0
-2.871 -0.687 1.745
1.467 -4.525 0.632
1.151 3.367 3.219
Pd Hg Ce
1 1 1
Cartesian
0.778 0.622 2.647
-0.479 -0.115 0.291
-0.553 -2.352 2.658